No. 1
# NaI2O2 meta-GGA SCAN PBEsol geometry
data_NaI2O2
_cell_length_a 4.1097
_cell_length_b 4.1097
_cell_length_c 7.3116
_cell_angle_alpha 90.00
_cell_angle_beta 90.00
_cell_angle_gamma 90.00
_symmetry_space_group_name_H-M 'P 1'
_symmetry_Int_Tables_number 1
loop_
_symmetry_equiv_pos_as_xyz
'x,y,z'
loop_
_atom_site_label
_atom_site_type_symbol
_atom_site_fract_x
_atom_site_fract_y
_atom_site_fract_z
I1 I 0.0000 0.0000 0.0000
I2 I 0.0000 0.0000 0.5000
Na1 Na 0.5000 0.5000 0.5000
O1 O 0.0000 0.5000 0.0000
O2 O 0.5000 0.0000 0.0000
# Space group: P4/mmm (123)



No. 2
# NaIO3 meta-GGA SCAN PBEsol geometry
data_NaIO3
_cell_length_a 5.8179
_cell_length_b 6.3697
_cell_length_c 7.7665
_cell_angle_alpha 90.00
_cell_angle_beta 90.00
_cell_angle_gamma 90.00
_symmetry_space_group_name_H-M 'P 1'
_symmetry_Int_Tables_number 1
loop_
_symmetry_equiv_pos_as_xyz
'x,y,z'
loop_
_atom_site_label
_atom_site_type_symbol
_atom_site_fract_x
_atom_site_fract_y
_atom_site_fract_z
Na1 Na 0.5000 0.0000 0.0000
Na2 Na 0.0000 0.5000 0.0000
Na3 Na 0.0000 0.5000 0.5000
Na4 Na 0.5000 0.0000 0.5000
I1 I 0.0061 0.0035 0.2500
I2 I 0.5061 0.4965 0.7500
I3 I 0.4939 0.5035 0.2500
I4 I 0.9939 0.9965 0.7500
O1 O 0.1376 0.1605 0.4228
O2 O 0.6376 0.3395 0.5772
O3 O 0.3624 0.6605 0.0772
O4 O 0.8624 0.8395 0.9228
O5 O 0.8624 0.8395 0.5772
O6 O 0.3624 0.6605 0.4228
O7 O 0.6376 0.3395 0.9228
O8 O 0.1376 0.1605 0.0772
O9 O 0.7131 0.1025 0.2500
O10 O 0.2131 0.3975 0.7500
O11 O 0.7869 0.6025 0.2500
O12 O 0.2869 0.8975 0.7500
# Space group: Pnma (62)



No. 3
# NaIO4 meta-GGA SCAN PBEsol geometry
data_NaIO4
_cell_length_a 5.3303
_cell_length_b 5.3303
_cell_length_c 6.9696
_cell_angle_alpha 112.48
_cell_angle_beta 112.48
_cell_angle_gamma 90.00
_symmetry_space_group_name_H-M 'P 1'
_symmetry_Int_Tables_number 1
loop_
_symmetry_equiv_pos_as_xyz
'x,y,z'
loop_
_atom_site_label
_atom_site_type_symbol
_atom_site_fract_x
_atom_site_fract_y
_atom_site_fract_z
Na1 Na 0.7500 0.2500 0.5000
Na2 Na 0.5000 0.5000 0.0000
I1 I 0.2500 0.7500 0.5000
I2 I 0.0000 0.0000 0.0000
O1 O 0.1782 0.0691 0.6662
O2 O 0.3191 0.2380 0.1662
O3 O 0.8470 0.9282 0.1662
O4 O 0.4880 0.5970 0.6662
O5 O 0.7620 0.1530 0.8338
O6 O 0.4030 0.8218 0.3338
O7 O 0.9309 0.5120 0.3338
O8 O 0.0718 0.6809 0.8338
# Space group: I4_1/a (88)



No. 4
# NaPIO2 meta-GGA SCAN PBEsol geometry
data_NaPIO2
_cell_length_a 4.1287
_cell_length_b 4.1287
_cell_length_c 6.0577
_cell_angle_alpha 90.00
_cell_angle_beta 90.00
_cell_angle_gamma 90.00
_symmetry_space_group_name_H-M 'P 1'
_symmetry_Int_Tables_number 1
loop_
_symmetry_equiv_pos_as_xyz
'x,y,z'
loop_
_atom_site_label
_atom_site_type_symbol
_atom_site_fract_x
_atom_site_fract_y
_atom_site_fract_z
I1 I 0.0000 0.0000 0.5000
P1 P 0.5000 0.5000 0.5000
O1 O 0.0000 0.5000 0.0000
O2 O 0.5000 0.0000 0.0000
Na1 Na 0.0000 0.0000 0.0000
# Space group: P4/mmm (123)



| no. | calculated total energy (eV/cell) | M_tot (μB/f.u.) | formation energy from raw total energies (kJ/mol of atoms) |
| --- | --- | --- | --- |
| 1 | -92.2 | 0.00 | -39.8 |
| 2 | -258.8 | 0.00 | -97.3 |
| 3 | -140.6 | 0.00 | -70.7 |
| 4 | -60.4 | 3.66 | 66.8 |